Material: BaSc2Cl
Method: DFT, GGA-PBEsol
State: optimized geometry

## Properties
As for the symmetry: No. 10. For the final energy, the calculation gives -4.662 eV/atom. The value obtained for the energy relative to the elements, uncorrected is -0.320 eV per atom. The energy relative to the lowest polymorph listed for this composition is 0.62 eV per formula unit.

Cell lengths 3.5619, 5.0564, 6.5840 Å; angles 90.00, 90.00, 90.31 degrees
Positions (direct):
1 Sc 0.2728 0.2612 0.0000
2 Sc 0.7272 0.7388 0.0000
3 Ba 0.0000 0.5000 0.5000
4 Cl 0.5000 0.0000 0.5000